No. 1
VASP calculation (PBE) on a relaxed Tb4PrHo crystal.

a b c (Å): 3.458 6.057 11.598
angles (deg): 118.68 90.00 106.58
Atoms (fractional coordinates):
Tb: 0.154 0.308 0.842
Tb: 0.846 0.692 0.158
Tb: 0.656 0.311 0.347
Tb: 0.344 0.689 0.653
Pr: 0.500 0.000 0.000
Ho: 0.000 0.000 0.500

Results
As for the space-group type: C2/m, No. 12. As for the calculated formation energy: 198 meV/atom. As for the crystal system: monoclinic. Its total magnetization is 0.000 μB per atom.

No. 2
VASP calculation (PBE) on a relaxed MgSeF2 crystal.

a b c (Å): 4.378 4.378 4.378
angles (deg): 60.00 60.00 60.00
Atoms (fractional coordinates):
Mg: 0.000 0.000 0.000
Se: 0.500 0.500 0.500
F: 0.250 0.250 0.250
F: 0.750 0.750 0.750

Results
As for the space-group type: Fm-3m, No. 225. As for the crystal system: cubic. Its total magnetization is 0.500 μB per atom.

No. 3
VASP calculation (PBE) on a relaxed TmLuZn crystal.

a b c (Å): 3.510 4.937 4.937
angles (deg): 120.00 90.00 90.00
Atoms (fractional coordinates):
Zn: 0.317 0.333 0.667
Lu: 0.075 0.000 0.000
Tm: 0.608 0.667 0.333

Results
As for the space-group type: P3m1, No. 156. As for the calculated formation energy: -48 meV/atom. As for the crystal system: trigonal. Its total magnetization is 0.000 μB per atom.

No. 4
VASP calculation (PBE) on a relaxed Zn3Rh2 crystal.

a b c (Å): 10.646 10.646 10.646
angles (deg): 15.19 15.19 15.19
Atoms (fractional coordinates):
Zn: 0.000 0.000 0.000
Zn: 0.797 0.797 0.797
Zn: 0.203 0.203 0.203
Rh: 0.601 0.601 0.601
Rh: 0.399 0.399 0.399

Results
As for the space-group type: R-3m, No. 166. As for the calculated formation energy: -208 meV/atom. As for the crystal system: trigonal. Its total magnetization is 0.093 μB per atom.

No. 5
VASP calculation (PBE) on a relaxed TbInPtRh crystal.

a b c (Å): 4.767 4.767 4.767
angles (deg): 60.00 60.00 60.00
Atoms (fractional coordinates):
Rh: 0.250 0.250 0.250
Tb: 0.500 0.500 0.500
Pt: 0.750 0.750 0.750
In: 0.000 0.000 0.000

Results
As for the space-group type: F-43m, No. 216. As for the calculated formation energy: -796 meV/atom. As for the crystal system: cubic. Its total magnetization is 0.000 μB per atom.

No. 6
VASP calculation (PBE) on a relaxed TbSmTmIn crystal.

a b c (Å): 4.880 4.841 4.862
angles (deg): 90.00 90.00 90.00
Atoms (fractional coordinates):
Tb: 0.500 0.500 0.000
Sm: 0.500 0.000 0.500
Tm: 0.000 0.500 0.500
In: 0.000 0.000 0.000

Results
As for the space-group type: Pmmm, No. 47. As for the calculated formation energy: -264 meV/atom. As for the crystal system: orthorhombic. Its total magnetization is 0.002 μB per atom.

No. 7
VASP calculation (PBE) on a relaxed K3Tb2TmTe6 crystal.

a b c (Å): 7.778 7.778 8.643
angles (deg): 98.64 98.64 119.99
Atoms (fractional coordinates):
K: 0.168 0.832 0.500
K: 0.832 0.168 0.500
K: 0.500 0.500 0.500
Tb: 0.334 0.666 0.000
Tb: 0.666 0.334 0.000
Tm: 0.000 0.000 0.000
Te: 0.931 0.601 0.792
Te: 0.740 0.740 0.208
Te: 0.069 0.399 0.208
Te: 0.601 0.931 0.792
Te: 0.260 0.260 0.792
Te: 0.399 0.069 0.208

Results
As for the space-group type: C2/m, No. 12. As for the crystal system: monoclinic. Its total magnetization is 0.000 μB per atom.

No. 8
VASP calculation (PBE) on a relaxed YZn2Cu9 crystal.

a b c (Å): 5.007 5.007 8.346
angles (deg): 72.54 72.54 60.00
Atoms (fractional coordinates):
Y: 0.000 0.000 0.000
Zn: 0.854 0.854 0.438
Zn: 0.146 0.146 0.562
Cu: 0.666 0.666 0.002
Cu: 0.334 0.334 0.998
Cu: 0.500 0.500 0.500
Cu: 0.411 0.411 0.259
Cu: 0.919 0.411 0.259
Cu: 0.411 0.919 0.259
Cu: 0.589 0.589 0.741
Cu: 0.589 0.081 0.741
Cu: 0.081 0.589 0.741

Results
As for the space-group type: R-3m, No. 166. As for the calculated formation energy: -89 meV/atom. As for the crystal system: trigonal. Its total magnetization is 0.000 μB per atom.

no.,E (eV per atom)
1,-4.448
2,-3.346
3,-3.471
4,-3.913
5,-5.986
6,-4.404
7,-4.382
8,-3.912